A plane-wave DFT calculation with GGA-PBE was carried out for an optimized crystal structure of K2LaIr.

a = 4.3413 Å, b = 4.3413 Å, c = 13.6285 Å
α = 80.84°, β = 80.84°, γ = 90.00°
Closest atoms and distances in Å follow each position.
Element x y z (fractional)
K (0.3750, 0.3548, 0.7500)  4 K 2.95-3.20
La (0.2500, 0.7500, 0.5000)  4 Ir 3.07
K (0.8750, 0.8952, 0.7500)  4 K 2.95-3.20
La (0.5000, 0.5000, 0.0000)  4 Ir 3.07
Ir (0.0000, 0.0000, 0.0000)  4 La 3.07
K (0.1048, 0.6250, 0.2500)  4 K 2.95-3.20
K (0.6452, 0.1250, 0.2500)  4 K 2.95-3.20
Ir (0.7500, 0.2500, 0.5000)  4 La 3.07

Properties
**ρ**: 5.4 g cm⁻³
**Energy of formation**: 0.391 eV/atom
**E_tot**: -3.605 eV per atom
**Polymorph energy (0 for the lowest one)**: 0.471 eV/atom
**Magnetic moment**: 0.000 μB/cell